No. 1
Here is Sr3LiCa2 after structural relaxation from Alexandria via LeMat-Bulk. Energies are from GGA-PBE.

Results
Calculated density ... 2.15 Mg/m³
Magnetic moment ... 0.0 μB/f.u.
N(E_F) ... 0.96 states/eV per atom
DFT total energy ... -10.8 eV per formula unit
E_form ... 0.034 eV/atom

```
data_Sr3LiCa2
_chemical_formula_sum 'Sr12 Li4 Ca8'
_space_group_name_H-M_alt 'C m m m'
_space_group_IT_number 65
_space_group_name_Hall '-C 2 2'
_cell_length_a 6.113
_cell_length_b 18.505
_cell_length_c 9.553
_cell_angle_alpha 90.00
_cell_angle_beta 90.00
_cell_angle_gamma 90.00
loop_
_atom_site_label
_atom_site_fract_x
_atom_site_fract_y
_atom_site_fract_z
_atom_site_occupancy
Sr1 0.000 0.000 0.240 1
Sr2 0.000 0.328 0.225 1
Li1 0.000 0.154 0.000 1
Ca1 0.000 0.168 0.500 1
Ca2 0.000 0.500 0.000 1
Ca3 0.000 0.500 0.500 1
```

No. 2
Here is Sr6Li6Ca after structural relaxation from Alexandria via LeMat-Bulk. Energies are from GGA-PBE.

Results
Calculated density ... 2.00 Mg/m³
Magnetic moment ... 0.0 μB/f.u.
N(E_F) ... 0.90 states/eV per atom
DFT total energy ... -22.8 eV per formula unit
E_form ... 0.062 eV/atom

```
data_Sr6Li6Ca
_chemical_formula_sum 'Sr12 Li12 Ca2'
_space_group_name_H-M_alt 'I m m m'
_space_group_IT_number 71
_space_group_name_Hall '-I 2 2'
_cell_length_a 6.918
_cell_length_b 12.059
_cell_length_c 12.087
_cell_angle_alpha 90.00
_cell_angle_beta 90.00
_cell_angle_gamma 90.00
loop_
_atom_site_label
_atom_site_fract_x
_atom_site_fract_y
_atom_site_fract_z
_atom_site_occupancy
Sr1 0.000 0.000 0.171 1
Sr2 0.000 0.329 0.000 1
Sr3 0.000 0.337 0.500 1
Li1 0.000 0.500 0.237 1
Li2 0.250 0.250 0.250 1
Ca1 0.000 0.000 0.500 1
```

No. 3
Here is SrLi9Ca2 after structural relaxation from Alexandria via LeMat-Bulk. Energies are from GGA-PBE.

Results
Calculated density ... 1.18 Mg/m³
Magnetic moment ... 0.0 μB/f.u.
N(E_F) ... 0.74 states/eV per atom
DFT total energy ... -22.9 eV per formula unit
E_form ... 0.000 eV/atom

```
data_SrLi9Ca2
_chemical_formula_sum 'Sr3 Li27 Ca6'
_space_group_name_H-M_alt 'R -3 m'
_space_group_IT_number 166
_space_group_name_Hall '-R 3 2"'
_cell_length_a 6.2195
_cell_length_b 6.2195
_cell_length_c 28.9734
_cell_angle_alpha 90.00
_cell_angle_beta 90.00
_cell_angle_gamma 120.00
loop_
_atom_site_label
_atom_site_fract_x
_atom_site_fract_y
_atom_site_fract_z
_atom_site_occupancy
Sr1 0.0000 0.0000 0.0000 1
Li1 0.0000 0.0000 0.3331 1
Li2 0.0000 0.0000 0.5000 1
Li3 0.0016 0.5008 0.9166 1
Ca1 0.0000 0.0000 0.1425 1
```

No. 4
Here is Sr15LiCa4 after structural relaxation from Alexandria via LeMat-Bulk. Energies are from GGA-PBE.

Results
Calculated density ... 2.43 Mg/m³
Magnetic moment ... 0.0 μB/f.u.
N(E_F) ... 1.08 states/eV per atom
DFT total energy ... -34.7 eV per formula unit
E_form ... 0.024 eV/atom

```
data_Sr15LiCa4
_chemical_formula_sum 'Sr15 Li1 Ca4'
_space_group_name_H-M_alt 'P 4/m m m'
_space_group_IT_number 123
_space_group_name_Hall '-P 4 2'
_cell_length_a 5.854
_cell_length_b 5.854
_cell_length_c 29.507
_cell_angle_alpha 90.00
_cell_angle_beta 90.00
_cell_angle_gamma 90.00
loop_
_atom_site_label
_atom_site_fract_x
_atom_site_fract_y
_atom_site_fract_z
_atom_site_occupancy
Sr1 0.000 0.000 0.000 1
Sr2 0.000 0.000 0.196 1
Sr3 0.000 0.000 0.399 1
Sr4 0.000 0.500 0.096 1
Sr5 0.000 0.500 0.298 1
Sr6 0.000 0.500 0.500 1
Li1 0.500 0.500 0.000 1
Ca1 0.500 0.500 0.197 1
Ca2 0.500 0.500 0.399 1
```

No. 5
Here is Sr5LiCa after structural relaxation from Alexandria via LeMat-Bulk. Energies are from GGA-PBE.

Results
Calculated density ... 2.11 Mg/m³
Magnetic moment ... 0.0 μB/f.u.
N(E_F) ... 1.11 states/eV per atom
DFT total energy ... -10.8 eV per formula unit
E_form ... 0.212 eV/atom
E above lowest polymorph ... 0.1326 eV per atom

```
data_Sr5LiCa
_chemical_formula_sum 'Sr20 Li4 Ca4'
_space_group_name_H-M_alt 'C 1 2/c 1'
_space_group_IT_number 15
_cell_length_a 13.111
_cell_length_b 9.280
_cell_length_c 13.968
_cell_angle_alpha 90.00
_cell_angle_beta 116.07
_cell_angle_gamma 90.00
loop_
_space_group_symop_operation_xyz
'x,y,z'
'-x,-y,-z'
'-x,y,-z+1/2'
'x,-y,z+1/2'
'x+1/2,y+1/2,z'
'-x+1/2,-y+1/2,-z'
'-x+1/2,y+1/2,-z+1/2'
'x+1/2,-y+1/2,z+1/2'
loop_
_atom_site_label
_atom_site_fract_x
_atom_site_fract_y
_atom_site_fract_z
_atom_site_occupancy
Sr1 0.000 0.164 0.250 1
Sr2 0.107 0.144 0.990 1
Sr3 0.231 0.110 0.754 1
Li1 0.250 0.250 0.500 1
Ca1 0.000 0.414 0.750 1
```

No. 6
Here is SrLiCa2 after structural relaxation from Alexandria via LeMat-Bulk. Energies are from GGA-PBE.

Results
Calculated density ... 1.78 Mg/m³
Magnetic moment ... 0.0 μB/f.u.
N(E_F) ... 1.15 states/eV per atom
DFT total energy ... -7.2 eV per formula unit
E_form ... 0.089 eV/atom
E above lowest polymorph ... 0.0713 eV per atom

```
data_SrLiCa2
_chemical_formula_sum 'Sr3 Li3 Ca6'
_space_group_name_H-M_alt 'R -3 m'
_space_group_IT_number 166
_space_group_name_Hall '-R 3 2"'
_cell_length_a 3.9510
_cell_length_b 3.9510
_cell_length_c 36.2613
_cell_angle_alpha 90.00
_cell_angle_beta 90.00
_cell_angle_gamma 120.00
loop_
_atom_site_label
_atom_site_fract_x
_atom_site_fract_y
_atom_site_fract_z
_atom_site_occupancy
Sr1 0.0000 0.0000 0.0000 1
Li1 0.0000 0.0000 0.5000 1
Ca1 0.0000 0.0000 0.2400 1
```

> The highest E_form belongs to which entry?

Sr5LiCa

> The highest DFT total energy belongs to which entry?

SrLiCa2

> N(E_F) of number 1 (Sr3LiCa2)?

0.96 states/eV per atom